--- one ---
{
  "formula": "LaTi2MnOs",
  "functional": "PBE",
  "state": "optimized geometry",
  "cell": [[4.736, 0.000, 0.000], [0.000, 4.736, 0.000], [0.000, 0.000, 5.524]],
  "species": ["La", "Ti", "Ti", "Mn", "Os"],
  "fractional_positions": [[0.000, 0.000, 0.000], [0.000, 0.500, 0.500], [0.500, 0.000, 0.500], [0.500, 0.500, 0.000], [0.000, 0.000, 0.500]],
  "spacegroup": "P4/mmm",
  "magnetic_moment_mub_per_fu": 0.3
}

--- two ---
{
  "formula": "LaTi2MnOs",
  "functional": "PBE",
  "state": "optimized geometry",
  "cell": [[4.696, 0.000, 0.000], [0.000, 4.696, 0.000], [0.000, 0.000, 4.288]],
  "species": ["La", "Ti", "Ti", "Mn", "Os"],
  "fractional_positions": [[0.000, 0.000, 0.000], [0.000, 0.500, 0.000], [0.500, 0.000, 0.000], [0.000, 0.000, 0.500], [0.500, 0.500, 0.500]],
  "spacegroup": "P4/mmm",
  "magnetic_moment_mub_per_fu": 0.9
}

Stability ranking, top entry: one; the second entry is 0.755 eV/atom less favorable.

--- one ---
{
  "formula": "LaMnPS2",
  "functional": "PBE",
  "state": "optimized geometry",
  "cell": [[5.432, 0.000, 0.000], [0.000, 5.432, 0.000], [0.000, 0.000, 5.620]],
  "species": ["La", "Mn", "P", "S", "S"],
  "fractional_positions": [[0.000, 0.000, 0.000], [0.500, 0.500, 0.500], [0.000, 0.000, 0.500], [0.000, 0.500, 0.000], [0.500, 0.000, 0.000]],
  "spacegroup": "P4/mmm",
  "magnetic_moment_mub_per_fu": 3.5
}

--- two ---
{
  "formula": "LaMnPS2",
  "functional": "PBE",
  "state": "optimized geometry",
  "cell": [[4.649, 0.000, 0.000], [0.000, 4.649, 0.000], [0.000, 0.000, 4.572]],
  "species": ["La", "Mn", "P", "S", "S"],
  "fractional_positions": [[0.000, 0.000, 0.000], [0.500, 0.500, 0.500], [0.500, 0.500, 0.000], [0.000, 0.500, 0.500], [0.500, 0.000, 0.500]],
  "spacegroup": "P4/mmm",
  "magnetic_moment_mub_per_fu": 3.1
}

Stability ranking, top entry: two; the second entry is 1.268 eV/atom less favorable.

--- one ---
{
  "formula": "Rb2LaMn",
  "functional": "PBE",
  "state": "optimized geometry",
  "cell": [[13.566, 0.000, 0.000], [0.000, 13.566, 0.000], [0.000, 0.000, 5.179]],
  "species": ["Rb", "Rb", "Rb", "Rb", "Rb", "Rb", "Rb", "Rb", "La", "La", "La", "La", "Mn", "Mn", "Mn", "Mn"],
  "fractional_positions": [[0.108, 0.250, 0.125], [0.250, 0.608, 0.375], [0.250, 0.892, 0.875], [0.392, 0.250, 0.625], [0.608, 0.750, 0.625], [0.750, 0.108, 0.875], [0.750, 0.392, 0.375], [0.892, 0.750, 0.125], [0.000, 0.000, 0.500], [0.000, 0.500, 0.750], [0.500, 0.000, 0.250], [0.500, 0.500, 0.000], [0.000, 0.000, 0.000], [0.000, 0.500, 0.250], [0.500, 0.000, 0.750], [0.500, 0.500, 0.500]],
  "spacegroup": "I-42d",
  "magnetic_moment_mub_per_fu": 2.2
}

--- two ---
{
  "formula": "Rb2LaMn",
  "functional": "PBE",
  "state": "optimized geometry",
  "cell": [[8.168, 0.000, 0.000], [0.000, 8.168, 0.000], [0.000, 0.000, 8.168]],
  "species": ["Rb", "Rb", "Rb", "Rb", "Rb", "Rb", "Rb", "Rb", "La", "La", "La", "La", "Mn", "Mn", "Mn", "Mn"],
  "fractional_positions": [[0.250, 0.250, 0.250], [0.250, 0.250, 0.750], [0.250, 0.750, 0.250], [0.250, 0.750, 0.750], [0.750, 0.250, 0.250], [0.750, 0.250, 0.750], [0.750, 0.750, 0.250], [0.750, 0.750, 0.750], [0.000, 0.000, 0.000], [0.000, 0.500, 0.500], [0.500, 0.000, 0.500], [0.500, 0.500, 0.000], [0.000, 0.000, 0.500], [0.000, 0.500, 0.000], [0.500, 0.000, 0.000], [0.500, 0.500, 0.500]],
  "spacegroup": "Fm-3m",
  "magnetic_moment_mub_per_fu": 0.4
}

Stability ranking, top entry: one; the second entry is 0.902 eV/atom less favorable.

--- one ---
{
  "formula": "RbLa3Mn",
  "functional": "PBE",
  "state": "optimized geometry",
  "cell": [[5.702, 0.000, 0.000], [0.000, 5.702, 0.000], [0.000, 0.000, 5.702]],
  "species": ["Rb", "La", "La", "La", "Mn"],
  "fractional_positions": [[0.000, 0.000, 0.000], [0.000, 0.000, 0.500], [0.000, 0.500, 0.000], [0.500, 0.000, 0.000], [0.500, 0.500, 0.500]],
  "spacegroup": "Pm-3m",
  "magnetic_moment_mub_per_fu": 4.0
}

--- two ---
{
  "formula": "RbLa3Mn",
  "functional": "PBE",
  "state": "optimized geometry",
  "cell": [[5.657, 0.000, 0.000], [0.000, 5.657, 0.000], [0.000, 0.000, 5.657]],
  "species": ["Rb", "La", "La", "La", "Mn"],
  "fractional_positions": [[0.000, 0.000, 0.000], [0.000, 0.500, 0.500], [0.500, 0.000, 0.500], [0.500, 0.500, 0.000], [0.500, 0.500, 0.500]],
  "spacegroup": "Pm-3m",
  "magnetic_moment_mub_per_fu": 1.0
}

Stability ranking, top entry: two; the second entry is 1.015 eV/atom less favorable.

--- one ---
{
  "formula": "RbLaMn3",
  "functional": "PBE",
  "state": "optimized geometry",
  "cell": [[5.642, 0.000, 0.000], [0.000, 5.642, 0.000], [0.000, 0.000, 5.642]],
  "species": ["Rb", "La", "Mn", "Mn", "Mn"],
  "fractional_positions": [[0.000, 0.000, 0.000], [0.500, 0.500, 0.500], [0.000, 0.500, 0.500], [0.500, 0.000, 0.500], [0.500, 0.500, 0.000]],
  "spacegroup": "Pm-3m",
  "magnetic_moment_mub_per_fu": 11.8
}

--- two ---
{
  "formula": "RbLaMn3",
  "functional": "PBE",
  "state": "optimized geometry",
  "cell": [[5.326, 0.000, 0.000], [0.000, 5.326, 0.000], [0.000, 0.000, 5.326]],
  "species": ["Rb", "La", "Mn", "Mn", "Mn"],
  "fractional_positions": [[0.000, 0.000, 0.000], [0.500, 0.500, 0.500], [0.000, 0.000, 0.500], [0.000, 0.500, 0.000], [0.500, 0.000, 0.000]],
  "spacegroup": "Pm-3m",
  "magnetic_moment_mub_per_fu": 12.3
}

Stability ranking, top entry: one; the second entry is 0.386 eV/atom less favorable.

--- one ---
{
  "formula": "LaMnRe2",
  "functional": "PBE",
  "state": "optimized geometry",
  "cell": [[7.494, 0.000, 0.000], [0.000, 4.325, 0.000], [-2.487, 0.000, 5.368]],
  "species": ["La", "La", "Mn", "Mn", "Re", "Re", "Re", "Re"],
  "fractional_positions": [[0.000, 0.000, 0.000], [0.500, 0.500, 0.000], [0.301, 0.500, 0.403], [0.801, 0.000, 0.403], [0.005, 0.500, 0.515], [0.200, 0.000, 0.599], [0.505, 0.000, 0.515], [0.700, 0.500, 0.599]],
  "spacegroup": "Cm",
  "magnetic_moment_mub_per_fu": 3.5
}

--- two ---
{
  "formula": "LaMnRe2",
  "functional": "PBE",
  "state": "optimized geometry",
  "cell": [[6.549, 0.000, 0.000], [0.000, 6.549, 0.000], [0.000, 0.000, 6.549]],
  "species": ["La", "La", "La", "La", "Mn", "Mn", "Mn", "Mn", "Re", "Re", "Re", "Re", "Re", "Re", "Re", "Re"],
  "fractional_positions": [[0.000, 0.000, 0.000], [0.000, 0.500, 0.500], [0.500, 0.000, 0.500], [0.500, 0.500, 0.000], [0.250, 0.250, 0.750], [0.250, 0.750, 0.250], [0.750, 0.250, 0.250], [0.750, 0.750, 0.750], [0.000, 0.000, 0.500], [0.000, 0.500, 0.000], [0.250, 0.250, 0.250], [0.250, 0.750, 0.750], [0.500, 0.000, 0.000], [0.500, 0.500, 0.500], [0.750, 0.250, 0.750], [0.750, 0.750, 0.250]],
  "spacegroup": "F-43m",
  "magnetic_moment_mub_per_fu": 2.1
}

--- three ---
{
  "formula": "LaMnRe2",
  "functional": "PBE",
  "state": "optimized geometry",
  "cell": [[3.163, 0.000, 0.000], [0.000, 4.741, 0.000], [0.000, 0.000, 9.437]],
  "species": ["La", "La", "Mn", "Mn", "Re", "Re", "Re", "Re"],
  "fractional_positions": [[0.000, 0.000, 0.000], [0.500, 0.500, 0.000], [0.000, 0.500, 0.709], [0.500, 0.000, 0.709], [0.000, 0.000, 0.505], [0.000, 0.500, 0.283], [0.500, 0.000, 0.283], [0.500, 0.500, 0.505]],
  "spacegroup": "Cmm2",
  "magnetic_moment_mub_per_fu": 2.5
}

Stability ranking, top entry: one; the second entry is 0.308 eV/atom less favorable.